No. 1
# YNbAl2O8 (PBE, optimized geometry)
data_YNbAl2O8
_space_group_name_H-M_alt 'I -4 m 2'
_space_group_IT_number 119
_space_group_name_Hall 'I -4 -2'
_cell_length_a 6.796
_cell_length_b 6.796
_cell_length_c 6.354
_cell_angle_alpha 90.00
_cell_angle_beta 90.00
_cell_angle_gamma 90.00
loop_
_atom_site_label
_atom_site_type_symbol
_atom_site_fract_x
_atom_site_fract_y
_atom_site_fract_z
Y1 Y 0.000 0.000 0.000
Nb1 Nb 0.000 0.500 0.250
Al1 Al 0.000 0.000 0.500
Al2 Al 0.000 0.500 0.750
O1 O 0.000 0.205 0.328
O2 O 0.000 0.323 0.950
# Formation energy (no corrections) (eV per atom): -2.47
# Total moment (μB/f.u.): 2.0
# ρ (g/cm3): 4.12


No. 2
# YNb2AlO (PBE, optimized geometry)
data_YNb2AlO
_space_group_name_H-M_alt 'P 4/m m m'
_space_group_IT_number 123
_space_group_name_Hall '-P 4 2'
_cell_length_a 5.290
_cell_length_b 5.290
_cell_length_c 4.083
_cell_angle_alpha 90.00
_cell_angle_beta 90.00
_cell_angle_gamma 90.00
loop_
_atom_site_label
_atom_site_type_symbol
_atom_site_fract_x
_atom_site_fract_y
_atom_site_fract_z
Y1 Y 0.000 0.000 0.000
Nb1 Nb 0.000 0.500 0.000
Al1 Al 0.500 0.500 0.500
O1 O 0.000 0.000 0.500
# Formation energy (no corrections) (eV per atom): 1.04
# Total moment (μB/f.u.): 0.1
# ρ (g/cm3): 4.62


No. 3
# NbAl2Os2 (PBE, optimized geometry)
data_NbAl2Os2
_space_group_name_H-M_alt 'C m m m'
_space_group_IT_number 65
_space_group_name_Hall '-C 2 2'
_cell_length_a 2.991
_cell_length_b 17.664
_cell_length_c 3.067
_cell_angle_alpha 90.00
_cell_angle_beta 90.00
_cell_angle_gamma 90.00
loop_
_atom_site_label
_atom_site_type_symbol
_atom_site_fract_x
_atom_site_fract_y
_atom_site_fract_z
Nb1 Nb 0.000 0.000 0.000
Al1 Al 0.000 0.181 0.000
Os1 Os 0.000 0.402 0.500
# Total moment (μB/f.u.): 0.0
# Formation energy from the elements (eV per atom): -0.23
# ρ (g/cm3): 10.81


No. 4
# NbAlOs2 (PBE, optimized geometry)
data_NbAlOs2
_space_group_name_H-M_alt 'P 4/m m m'
_space_group_IT_number 123
_space_group_name_Hall '-P 4 2'
_cell_length_a 3.131
_cell_length_b 3.131
_cell_length_c 6.143
_cell_angle_alpha 90.00
_cell_angle_beta 90.00
_cell_angle_gamma 90.00
loop_
_atom_site_label
_atom_site_type_symbol
_atom_site_fract_x
_atom_site_fract_y
_atom_site_fract_z
Nb1 Nb 0.000 0.000 0.000
Al1 Al 0.000 0.000 0.500
Os1 Os 0.500 0.500 0.258
# Total moment (μB/f.u.): 0.0
# Formation energy from the elements (eV per atom): -0.42
# ρ (g/cm3): 13.79